DFT (PBE+U) results for a geometry-optimized NdIn2MoO8 structure.

POSCAR file:
```
NdIn2MoO8
1.0
3.493 -3.508 0.000
3.493 3.508 0.000
0.000 0.000 6.821
Nd In Mo O
1 2 1 8
direct
0.000 0.000 0.000
0.500 0.500 0.262
0.500 0.500 0.738
0.000 0.000 0.500
0.188 0.812 0.293
0.188 0.812 0.707
0.286 0.286 0.500
0.323 0.323 0.000
0.677 0.677 0.000
0.714 0.714 0.500
0.812 0.188 0.293
0.812 0.188 0.707
```

Calculated values
Total magnetization (μB/f.u.): 0.90
Volume (Å³ per atom): 13.93
E (hartree per atom): -0.23988